The following is a DFT calculation (PBE-GGA) of an optimized crystal structure of CsKNa2Mg.

POSCAR file:
```
CsKNa2Mg
1.0
6.490 0.000 0.000
0.000 6.490 0.000
0.000 0.000 6.915
Cs K Na Mg
1 1 2 1
Cartesian
0.000 0.000 0.000
3.245 3.245 0.000
0.000 3.245 3.457
3.245 0.000 3.457
3.245 3.245 3.457
```

Values from the calculation:
DFT formation energy   0.17 eV per atom
Crystal system   tetragonal
Space-group type   P4/mmm, No. 123
M_tot   0.0000 μB per atom



The following is a DFT calculation (PBE-GGA) of an optimized crystal structure of CsKNaMg.

POSCAR file:
```
CsKNaMg
1.0
0.000 4.683 4.683
4.683 0.000 4.683
4.683 4.683 0.000
Cs K Na Mg
1 1 1 1
Cartesian
0.000 0.000 0.000
7.025 7.025 7.025
2.342 2.342 2.342
4.683 4.683 4.683
```

Values from the calculation:
DFT formation energy   0.17 eV per atom
Crystal system   cubic
Space-group type   F-43m, No. 216
M_tot   0.0000 μB per atom



The following is a DFT calculation (PBE-GGA) of an optimized crystal structure of CsK2NaMg.

POSCAR file:
```
CsK2NaMg
1.0
7.123 0.000 0.000
0.000 7.123 0.000
0.000 0.000 6.560
Cs K Na Mg
1 2 1 1
Cartesian
0.000 0.000 0.000
0.000 3.562 3.280
3.562 0.000 3.280
3.562 3.562 0.000
3.562 3.562 3.280
```

Values from the calculation:
DFT formation energy   0.17 eV per atom
Crystal system   tetragonal
Space-group type   P4/mmm, No. 123
M_tot   0.0000 μB per atom



The following is a DFT calculation (PBE-GGA) of an optimized crystal structure of CsKMg14O15.

POSCAR file:
```
CsKMg14O15
1.0
4.503 0.000 0.000
0.000 8.965 0.000
0.000 0.000 8.649
Cs K Mg O
1 1 14 15
Cartesian
0.000 0.000 0.000
0.000 4.483 7.506
0.000 0.000 3.510
0.000 2.151 5.542
0.000 2.548 1.126
0.000 4.483 3.304
0.000 6.417 1.126
0.000 6.814 5.542
2.251 0.000 1.325
2.251 0.000 5.602
2.251 2.232 3.319
2.251 2.275 7.602
2.251 4.483 1.146
2.251 4.483 5.403
2.251 6.690 7.602
2.251 6.733 3.319
0.000 0.000 5.423
0.000 2.074 3.170
0.000 2.177 7.614
0.000 4.483 1.361
0.000 4.483 5.185
0.000 6.788 7.614
0.000 6.891 3.170
2.251 0.000 3.285
2.251 0.000 7.614
2.251 2.166 1.159
2.251 2.247 5.441
2.251 4.483 3.248
2.251 4.483 7.767
2.251 6.718 5.441
2.251 6.799 1.159
```

Values from the calculation:
Crystal system   orthorhombic
Space-group type   Pmm2, No. 25
VASP energy   -166.3 eV/f.u.
M_tot   0.0000 μB per atom



The following is a DFT calculation (PBE-GGA) of an optimized crystal structure of CsKMg6O7.

POSCAR file:
```
CsKMg6O7
1.0
4.979 0.000 0.000
0.000 4.979 0.000
0.000 0.000 8.044
Cs K Mg O
1 1 6 7
Cartesian
0.000 0.000 0.000
0.000 0.000 4.757
0.000 2.490 2.649
0.000 2.490 6.669
2.490 0.000 2.649
2.490 0.000 6.669
2.490 2.490 0.707
2.490 2.490 4.666
0.000 0.000 2.471
0.000 2.490 0.620
0.000 2.490 4.749
2.490 0.000 0.620
2.490 0.000 4.749
2.490 2.490 2.683
2.490 2.490 6.712
```

Values from the calculation:
Crystal system   tetragonal
Space-group type   P4mm, No. 99
VASP energy   -72.5 eV/f.u.
M_tot   0.0000 μB per atom



The following is a DFT calculation (PBE-GGA) of an optimized crystal structure of Cs2KMgP2.

POSCAR file:
```
Cs2KMgP2
1.0
-3.858 8.091 3.410
3.858 -8.091 3.410
3.858 8.091 -3.410
Cs K Mg P
4 2 2 4
Cartesian
1.778 2.887 0.000
1.778 -2.887 3.410
2.080 10.978 0.000
2.080 5.205 3.410
3.858 0.000 1.705
0.000 8.091 1.705
0.000 0.000 1.705
0.000 0.000 5.115
6.244 1.436 0.000
2.386 6.655 0.000
1.471 1.436 3.410
-2.386 6.655 3.410
```

Values from the calculation:
DFT formation energy   -0.33 eV per atom
Crystal system   orthorhombic
Space-group type   Ibam, No. 72
M_tot   0.1711 μB per atom



The following is a DFT calculation (PBE-GGA) of an optimized crystal structure of Cs4K2MgPb2.

POSCAR file:
```
Cs4K2MgPb2
1.0
8.551 -4.259 0.000
8.551 4.259 0.000
-2.419 0.000 6.923
Cs K Mg Pb
4 2 1 2
Cartesian
4.462 2.234 5.385
10.220 2.234 1.537
4.462 -2.234 5.385
10.220 -2.234 1.537
5.401 0.000 1.652
9.282 0.000 5.270
-1.210 0.000 3.461
1.058 0.000 5.236
13.624 0.000 1.686
```

Values from the calculation:
DFT formation energy   -0.01 eV per atom
Crystal system   monoclinic
Space-group type   C2/m, No. 12
M_tot   0.0000 μB per atom



The following is a DFT calculation (PBE-GGA) of an optimized crystal structure of CsKMgPb.

POSCAR file:
```
CsKMgPb
1.0
0.000 4.210 4.210
4.210 0.000 4.210
4.210 4.210 0.000
Cs K Mg Pb
1 1 1 1
Cartesian
0.000 0.000 0.000
6.315 6.315 6.315
2.105 2.105 2.105
4.210 4.210 4.210
```

Values from the calculation:
DFT formation energy   0.02 eV per atom
Crystal system   cubic
Space-group type   F-43m, No. 216
M_tot   0.0000 μB per atom



The following is a DFT calculation (PBE-GGA) of an optimized crystal structure of CsK2MgPd.

POSCAR file:
```
CsK2MgPd
1.0
6.544 0.000 0.000
0.000 6.544 0.000
0.000 0.000 5.293
Cs K Mg Pd
1 2 1 1
Cartesian
0.000 0.000 0.000
0.000 3.272 2.647
3.272 0.000 2.647
3.272 3.272 0.000
3.272 3.272 2.647
```

Values from the calculation:
DFT formation energy   0.03 eV per atom
Crystal system   tetragonal
Space-group type   P4/mmm, No. 123
M_tot   0.0000 μB per atom



The following is a DFT calculation (PBE-GGA) of an optimized crystal structure of CsK2MgPt.

POSCAR file:
```
CsK2MgPt
1.0
6.502 0.000 0.000
0.000 6.502 0.000
0.000 0.000 5.200
Cs K Mg Pt
1 2 1 1
Cartesian
0.000 0.000 0.000
0.000 3.251 2.600
3.251 0.000 2.600
3.251 3.251 0.000
3.251 3.251 2.600
```

Values from the calculation:
DFT formation energy   -0.02 eV per atom
Crystal system   tetragonal
Space-group type   P4/mmm, No. 123
M_tot   0.0000 μB per atom



The following is a DFT calculation (PBE-GGA) of an optimized crystal structure of Cs2KMgS.

POSCAR file:
```
Cs2KMgS
1.0
7.339 0.000 0.000
0.000 7.339 0.000
0.000 0.000 5.547
Cs K Mg S
2 1 1 1
Cartesian
0.000 3.669 0.000
3.669 0.000 0.000
0.000 0.000 0.000
3.669 3.669 2.773
0.000 0.000 2.773
```

Values from the calculation:
Crystal system   tetragonal
Space-group type   P4/mmm, No. 123
VASP energy   -8.8 eV/f.u.
M_tot   0.0000 μB per atom



The following is a DFT calculation (PBE-GGA) of an optimized crystal structure of Cs2KMgSb.

POSCAR file:
```
Cs2KMgSb
1.0
7.835 0.000 0.000
0.000 7.835 0.000
0.000 0.000 5.437
Cs K Mg Sb
2 1 1 1
Cartesian
0.000 3.918 0.000
3.918 0.000 0.000
0.000 0.000 2.718
3.918 3.918 2.718
3.918 3.918 0.000
```

Values from the calculation:
Energy above the lowest structure with this stoichiometry   0.0 meV per atom
Crystal system   tetragonal
Space-group type   P4/mmm, No. 123
M_tot   0.0000 μB per atom



Q: What is the M_tot in the sixth record?
A: 0.1711 μB per atom



Copy entry 12 word for word.
The following is a DFT calculation (PBE-GGA) of an optimized crystal structure of Cs2KMgSb.

POSCAR file:
```
Cs2KMgSb
1.0
7.835 0.000 0.000
0.000 7.835 0.000
0.000 0.000 5.437
Cs K Mg Sb
2 1 1 1
Cartesian
0.000 3.918 0.000
3.918 0.000 0.000
0.000 0.000 2.718
3.918 3.918 2.718
3.918 3.918 0.000
```

Values from the calculation:
Energy above the lowest structure with this stoichiometry   0.0 meV per atom
Crystal system   tetragonal
Space-group type   P4/mmm, No. 123
M_tot   0.0000 μB per atom